[1]
# PaInRh (PBE, relaxed)
# **Magnetic moment**: 0.0 μB per cell
# **VASP energy**: -0.2571 hartree per atom
# **Symmetry**: No. 107
data_PaInRh
_space_group_name_H-M_alt 'P 1'
_space_group_IT_number 1
_space_group_name_Hall 'P 1'
_cell_length_a 3.275
_cell_length_b 3.275
_cell_length_c 6.343
_cell_angle_alpha 104.96
_cell_angle_beta 104.96
_cell_angle_gamma 90.00
loop_
_atom_site_label
_atom_site_fract_x
_atom_site_fract_y
_atom_site_fract_z
Rh1 0.670 0.670 0.340
Pa1 0.311 0.311 0.622
In1 0.019 0.019 0.038

=====

[2]
# PaIn3Rh4 (PBE, relaxed)
# **Magnetic moment**: 0.0 μB per cell
# **VASP energy**: -0.2363 hartree per atom
# **Symmetry**: No. 51
data_PaIn3Rh4
_space_group_name_H-M_alt 'P 1'
_space_group_IT_number 1
_space_group_name_Hall 'P 1'
_cell_length_a 4.740
_cell_length_b 6.499
_cell_length_c 9.370
_cell_angle_alpha 90.00
_cell_angle_beta 90.00
_cell_angle_gamma 90.00
loop_
_atom_site_label
_atom_site_fract_x
_atom_site_fract_y
_atom_site_fract_z
In1 0.527 0.500 0.750
Rh1 0.500 0.250 0.500
Rh2 0.949 0.242 0.250
Pa1 0.000 0.500 0.500
Rh3 0.051 0.242 0.750
In2 0.000 0.000 0.500
In3 0.473 0.500 0.250
Rh4 0.949 0.758 0.250
Rh5 0.051 0.758 0.750
Rh6 0.500 0.250 0.000
Rh7 0.500 0.750 0.000
In4 0.000 0.000 0.000
In5 0.459 0.000 0.250
Pa2 0.000 0.500 0.000
Rh8 0.500 0.750 0.500
In6 0.541 0.000 0.750

=====

[3]
# PaIn2Rh3 (PBE, relaxed)
# **Magnetic moment**: 0.0 μB per cell
# **VASP energy**: -0.2491 hartree per atom
# **Symmetry**: No. 65
data_PaIn2Rh3
_space_group_name_H-M_alt 'P 1'
_space_group_IT_number 1
_space_group_name_Hall 'P 1'
_cell_length_a 3.564
_cell_length_b 4.635
_cell_length_c 13.542
_cell_angle_alpha 90.00
_cell_angle_beta 90.00
_cell_angle_gamma 90.00
loop_
_atom_site_label
_atom_site_fract_x
_atom_site_fract_y
_atom_site_fract_z
Rh1 0.500 0.000 0.148
In1 0.000 0.000 0.674
Rh2 0.500 0.000 0.500
Rh3 0.500 0.500 0.352
Rh4 0.500 0.000 0.852
Pa1 0.000 0.000 0.000
Rh5 0.500 0.500 0.648
In2 0.000 0.500 0.826
In3 0.000 0.000 0.326
In4 0.000 0.500 0.174
Pa2 0.000 0.500 0.500
Rh6 0.500 0.500 0.000